First-principles (PBE) data for a relaxed structure of LaZnCuRh3, as listed in Alexandria via LeMat-Bulk.

Output
Space-group type   Cmcm
Formation energy from the elements   -139.8 meV/atom

Cell lengths 6.8775, 6.8775, 5.7417 Å; angles 90.00, 90.00, 127.93 degrees
With the nearest neighbours (Å) after each atom.
Fractional coordinates of all 12 atoms:
1 La 0.1981 0.8019 0.7500  1 Cu 2.69, 2 Zn 2.94
2 La 0.8019 0.1981 0.2500  1 Cu 2.69, 2 Zn 2.94
3 Zn 0.1486 0.8514 0.2500  5 Rh 2.60-2.66
4 Zn 0.8514 0.1486 0.7500  5 Rh 2.60-2.66
5 Cu 0.4157 0.5843 0.7500  4 Rh 2.48, 1 La 2.69
6 Cu 0.5843 0.4157 0.2500  4 Rh 2.48, 1 La 2.69
7 Rh 0.2128 0.2128 0.0000  2 Cu 2.48, 1 Rh 2.57, 2 Zn 2.66
8 Rh 0.2128 0.2128 0.5000  2 Cu 2.48, 1 Rh 2.57, 2 Zn 2.66
9 Rh 0.3586 0.6414 0.2500  1 Zn 2.60, 1 Cu 2.79, 4 Rh 2.85
10 Rh 0.6414 0.3586 0.7500  1 Zn 2.60, 1 Cu 2.79, 4 Rh 2.85
11 Rh 0.7872 0.7872 0.0000  2 Cu 2.48, 1 Rh 2.57, 2 Zn 2.66
12 Rh 0.7872 0.7872 0.5000  2 Cu 2.48, 1 Rh 2.57, 2 Zn 2.66


First-principles (PBE) data for a relaxed structure of NpPaSbSe, as listed in Alexandria via LeMat-Bulk.

Output
Formation energy (no corrections)   -58 kJ/mol of atoms
Space-group type   F-43m

Cell lengths 5.1904, 5.1904, 5.1904 Å; angles 60.00, 60.00, 60.00 degrees
With the nearest neighbours (Å) after each atom.
Fractional coordinates of all 4 atoms:
1 Np 0.0000 0.0000 0.0000  4 Se 3.18, 4 Sb 3.18
2 Pa 0.5000 0.5000 0.5000  4 Se 3.18, 4 Sb 3.18
3 Sb 0.7500 0.7500 0.7500  4 Pa 3.18, 4 Np 3.18
4 Se 0.2500 0.2500 0.2500  4 Pa 3.18, 4 Np 3.18


First-principles (PBE) data for a relaxed structure of Zr3TiNi12, as listed in Alexandria via LeMat-Bulk.

Output
Space-group type   P4/mmm
Formation energy from the elements   -419.8 meV/atom

Cell lengths 3.7300, 3.7300, 14.8242 Å; angles 90.00, 90.00, 90.00 degrees
With the nearest neighbours (Å) after each atom.
Fractional coordinates of all 16 atoms:
1 Zr 0.0000 0.0000 0.0000  12 Ni 2.64-2.66
2 Zr 0.0000 0.0000 0.2559  12 Ni 2.64-2.66
3 Zr 0.0000 0.0000 0.7441  12 Ni 2.64-2.66
4 Ti 0.0000 0.0000 0.5000  12 Ni 2.54-2.64
5 Ni 0.0000 0.5000 0.1276  8 Ni 2.64-2.66, 4 Zr 2.66
6 Ni 0.0000 0.5000 0.3832  8 Ni 2.54-2.66, 2 Ti 2.54, 2 Zr 2.65
7 Ni 0.0000 0.5000 0.6168  8 Ni 2.54-2.66, 2 Ti 2.54, 2 Zr 2.65
8 Ni 0.0000 0.5000 0.8724  8 Ni 2.64-2.66, 4 Zr 2.66
9 Ni 0.5000 0.0000 0.1276  8 Ni 2.64-2.66, 4 Zr 2.66
10 Ni 0.5000 0.0000 0.3832  8 Ni 2.54-2.66, 2 Ti 2.54, 2 Zr 2.65
11 Ni 0.5000 0.0000 0.6168  8 Ni 2.54-2.66, 2 Ti 2.54, 2 Zr 2.65
12 Ni 0.5000 0.0000 0.8724  8 Ni 2.64-2.66, 4 Zr 2.66
13 Ni 0.5000 0.5000 0.0000  4 Zr 2.64, 8 Ni 2.66
14 Ni 0.5000 0.5000 0.2549  4 Zr 2.64, 8 Ni 2.65-2.66
15 Ni 0.5000 0.5000 0.5000  8 Ni 2.54, 4 Ti 2.64
16 Ni 0.5000 0.5000 0.7451  4 Zr 2.64, 8 Ni 2.65-2.66


First-principles (PBE) data for a relaxed structure of K3Ce3SiO8, as listed in Alexandria via LeMat-Bulk.

Output
Formation energy (no corrections)   -242 kJ/mol of atoms
Space-group type   R-3m

Cell lengths 7.4928, 7.4928, 7.4928 Å; angles 54.25, 54.25, 54.25 degrees
With the nearest neighbours (Å) after each atom.
Fractional coordinates of all 15 atoms:
1 K 0.0000 0.5000 0.5000  6 O 2.74-2.83
2 K 0.5000 0.0000 0.5000  6 O 2.74-2.83
3 K 0.5000 0.5000 0.0000  6 O 2.74-2.83
4 Ce 0.0000 0.0000 0.5000  6 O 2.36-2.41
5 Ce 0.0000 0.5000 0.0000  6 O 2.36-2.41
6 Ce 0.5000 0.0000 0.0000  6 O 2.36-2.41
7 Si 0.5000 0.5000 0.5000  6 O 1.89
8 O 0.2340 0.2340 0.2340  3 Ce 2.36
9 O 0.2841 0.6874 0.6874  1 Si 1.89
10 O 0.3126 0.3126 0.7159  1 Si 1.89
11 O 0.3126 0.7159 0.3126  1 Si 1.89
12 O 0.6874 0.2841 0.6874  1 Si 1.89
13 O 0.6874 0.6874 0.2841  1 Si 1.89
14 O 0.7159 0.3126 0.3126  1 Si 1.89
15 O 0.7660 0.7660 0.7660  3 Ce 2.36


First-principles (PBE) data for a relaxed structure of DyBeSi2Os2, as listed in Alexandria via LeMat-Bulk.

Output
Formation energy (no corrections)   -42 kJ/mol of atoms
Space-group type   P4/mmm

Cell lengths 4.2341, 4.2341, 5.1901 Å; angles 90.00, 90.00, 90.00 degrees
With the nearest neighbours (Å) after each atom.
Fractional coordinates of all 6 atoms:
1 Dy 0.0000 0.0000 0.0000  2 Be 2.60
2 Be 0.0000 0.0000 0.5000  4 Os 2.12
3 Si 0.5000 0.5000 0.2324  1 Si 2.41, 4 Os 2.53
4 Si 0.5000 0.5000 0.7676  1 Si 2.41, 4 Os 2.53
5 Os 0.0000 0.5000 0.5000  2 Be 2.12
6 Os 0.5000 0.0000 0.5000  2 Be 2.12


First-principles (PBE) data for a relaxed structure of Co2CuOs, as listed in Alexandria via LeMat-Bulk.

Output
Space-group type   I-4m2
ΔE to the lowest computed polymorph   130 meV per atom
Formation energy from the elements   286.3 meV/atom

Cell lengths 4.4896, 4.4896, 4.4896 Å; angles 133.34, 133.34, 68.11 degrees
With the nearest neighbours (Å) after each atom.
Fractional coordinates of all 4 atoms:
1 Co 0.0000 0.0000 0.0000  4 Os 2.51, 4 Co 2.57, 4 Cu 2.57
2 Co 0.7500 0.2500 0.5000  4 Cu 2.51, 4 Co 2.57, 4 Os 2.57
3 Cu 0.2500 0.7500 0.5000  8 Co 2.51-2.57, 4 Os 2.57
4 Os 0.5000 0.5000 0.0000  8 Co 2.51-2.57, 4 Cu 2.57